[1]
Entry from the Alexandria database: a relaxed Tb2NdHo3S6 crystal (PBE).

Computed properties:
Formation energy from raw total energies ... -2.00 eV per atom
D(E_F) ... 5.00 states/eV/f.u.

Lattice parameters (Å, degrees): 6.7836 11.7958 6.8201 90.00 109.42 90.00
Space group C2/m (No. 12)
Symmetry-distinct sites (fractional):
Tb1 0.0000 0.1661 0.0000 (multiplicity 4)
Nd1 0.0000 0.5000 0.0000 (multiplicity 2)
Ho1 0.0000 0.0000 0.5000 (multiplicity 2)
Ho2 0.0000 0.3370 0.5000 (multiplicity 4)
S1 0.2431 0.1705 0.7408 (multiplicity 8)
S2 0.2447 0.0000 0.2566 (multiplicity 4)

[2]
Entry from the Alexandria database: a relaxed TbNd2Ho3S6 crystal (PBE).

Computed properties:
Formation energy from raw total energies ... -2.00 eV per atom
D(E_F) ... 5.03 states/eV/f.u.

Lattice parameters (Å, degrees): 17.2660 3.9273 7.9753 90.00 104.07 90.00
Space group C2/m (No. 12)
Symmetry-distinct sites (fractional):
Tb1 0.0000 0.0000 0.0000 (multiplicity 2)
Nd1 0.1674 0.5000 0.3348 (multiplicity 4)
Ho1 0.0000 0.0000 0.5000 (multiplicity 2)
Ho2 0.1683 0.5000 0.8333 (multiplicity 4)
S1 0.0042 0.5000 0.7493 (multiplicity 4)
S2 0.1624 0.0000 0.5933 (multiplicity 4)
S3 0.1668 0.0000 0.0716 (multiplicity 4)

[3]
Entry from the Alexandria database: a relaxed TbNd4HoS8 crystal (PBE).

Computed properties:
Formation energy from raw total energies ... -1.91 eV per atom
D(E_F) ... 8.26 states/eV/f.u.

Lattice parameters (Å, degrees): 8.2594 8.2594 20.1659 90.00 90.00 120.00
Space group R3m (No. 160, hexagonal axes)
Symmetry-distinct sites (fractional):
Tb1 0.0000 0.0000 0.0000 (multiplicity 3)
Nd1 0.0000 0.0000 0.3769 (multiplicity 3)
Nd2 0.0036 0.5018 0.5015 (multiplicity 9)
Ho1 0.0000 0.0000 0.6256 (multiplicity 3)
S1 0.0000 0.0000 0.2437 (multiplicity 3)
S2 0.0000 0.0000 0.7538 (multiplicity 3)
S3 0.0278 0.5139 0.7513 (multiplicity 9)
S4 0.1741 0.3482 0.5861 (multiplicity 9)

[4]
Entry from the Alexandria database: a relaxed Tb2NdHoS6 crystal (PBE).

Computed properties:
Formation energy from raw total energies ... -2.05 eV per atom
D(E_F) ... 0.00 states/eV/f.u.

Lattice parameters (Å, degrees): 6.9951 6.9951 18.6206 90.00 90.00 120.00
Space group R3 (No. 146, hexagonal axes)
Symmetry-distinct sites (fractional):
Tb1 0.0000 0.0000 0.0000 (multiplicity 3)
Tb2 0.0000 0.0000 0.4966 (multiplicity 3)
Nd1 0.0000 0.0000 0.2043 (multiplicity 3)
Ho1 0.0000 0.0000 0.6989 (multiplicity 3)
S1 0.0145 0.7136 0.5988 (multiplicity 9)
S2 0.0301 0.3618 0.7645 (multiplicity 9)

[5]
Entry from the Alexandria database: a relaxed Nd2HoTe2S2 crystal (PBE).

Computed properties:
Formation energy from raw total energies ... -1.50 eV per atom
D(E_F) ... 2.88 states/eV/f.u.

Lattice parameters (Å, degrees): 5.0446 5.0446 16.0971 90.00 90.00 90.00
Space group I4/mmm (No. 139)
Symmetry-distinct sites (fractional):
Nd1 0.0000 0.0000 0.1157 (multiplicity 4)
Ho1 0.0000 0.0000 0.5000 (multiplicity 2)
Te1 0.0000 0.0000 0.3141 (multiplicity 4)
S1 0.0000 0.5000 0.0000 (multiplicity 4)

[6]
Entry from the Alexandria database: a relaxed NdHoTeS crystal (PBE).

Computed properties:
Formation energy from raw total energies ... -1.55 eV per atom
D(E_F) ... 1.99 states/eV/f.u.

Lattice parameters (Å, degrees): 4.0154 4.0154 22.8536 90.00 90.00 120.00
Space group R3m (No. 160, hexagonal axes)
Symmetry-distinct sites (fractional):
Nd1 0.0000 0.0000 0.0000 (multiplicity 3)
Ho1 0.0000 0.0000 0.1546 (multiplicity 3)
Te1 0.0000 0.0000 0.5728 (multiplicity 3)
S1 0.0000 0.0000 0.7502 (multiplicity 3)

[7]
Entry from the Alexandria database: a relaxed NdHo3Th4S8 crystal (PBE).

Computed properties:
Formation energy from raw total energies ... -1.91 eV per atom
D(E_F) ... 5.20 states/eV/f.u.

Lattice parameters (Å, degrees): 7.8460 7.8460 20.1670 90.00 90.00 120.00
Space group R-3m (No. 166, hexagonal axes)
Symmetry-distinct sites (fractional):
Nd1 0.0000 0.0000 0.0000 (multiplicity 3)
Ho1 0.0000 0.5000 0.0000 (multiplicity 9)
Th1 0.0000 0.0000 0.5000 (multiplicity 3)
Th2 0.0000 0.5000 0.5000 (multiplicity 9)
S1 0.0000 0.0000 0.2559 (multiplicity 6)
S2 0.0074 0.5037 0.2543 (multiplicity 18)

[8]
Entry from the Alexandria database: a relaxed Nd3Ho2ThS6 crystal (PBE).

Computed properties:
Formation energy from raw total energies ... -1.97 eV per atom
D(E_F) ... 5.97 states/eV/f.u.

Lattice parameters (Å, degrees): 17.4519 3.9921 8.0483 90.00 103.35 90.00
Space group C2/m (No. 12)
Symmetry-distinct sites (fractional):
Nd1 0.0000 0.0000 0.0000 (multiplicity 2)
Nd2 0.1631 0.5000 0.3336 (multiplicity 4)
Ho1 0.1661 0.5000 0.8315 (multiplicity 4)
Th1 0.0000 0.0000 0.5000 (multiplicity 2)
S1 0.0056 0.5000 0.7533 (multiplicity 4)
S2 0.1684 0.0000 0.5966 (multiplicity 4)
S3 0.1712 0.0000 0.0739 (multiplicity 4)

[9]
Entry from the Alexandria database: a relaxed NdHo2ThS4 crystal (PBE).

Computed properties:
Formation energy from raw total energies ... -1.95 eV per atom
D(E_F) ... 3.29 states/eV/f.u.

Lattice parameters (Å, degrees): 6.8267 3.9239 6.9831 90.00 108.94 90.00
Space group P2/m (No. 10)
Symmetry-distinct sites (fractional):
Nd1 0.0000 0.0000 0.0000 (multiplicity 1)
Ho1 0.0000 0.5000 0.5000 (multiplicity 1)
Ho2 0.5000 0.0000 0.5000 (multiplicity 1)
Th1 0.5000 0.5000 0.0000 (multiplicity 1)
S1 0.2449 0.0000 0.7332 (multiplicity 2)
S2 0.2565 0.5000 0.2671 (multiplicity 2)

[10]
Entry from the Alexandria database: a relaxed Nd4Ho3ThS8 crystal (PBE).

Computed properties:
Formation energy from raw total energies ... -1.98 eV per atom
D(E_F) ... 8.67 states/eV/f.u.

Lattice parameters (Å, degrees): 7.9784 7.9784 19.7029 90.00 90.00 120.00
Space group R-3m (No. 166, hexagonal axes)
Symmetry-distinct sites (fractional):
Nd1 0.0000 0.0000 0.0000 (multiplicity 3)
Nd2 0.0000 0.5000 0.0000 (multiplicity 9)
Ho1 0.0000 0.5000 0.5000 (multiplicity 9)
Th1 0.0000 0.0000 0.5000 (multiplicity 3)
S1 0.0000 0.0000 0.2440 (multiplicity 6)
S2 0.0068 0.5034 0.7543 (multiplicity 18)